Entry 1:
## LaCeZnPt (PBE)

Data for LaCeZnPt after structural relaxation.

Properties
ΔE_f	-603	meV per atom

Cell lengths 7.307, 7.307, 7.307 Å; angles 90.00, 90.00, 90.00 degrees
Space group F-43m (No. 216)
Unique sites:
La 0.000 0.000 0.000
Ce 0.000 0.000 0.500
Zn 0.250 0.250 0.250
Pt 0.250 0.250 0.750

***

Entry 2:
## TaTeW2 (PBE)

Data for TaTeW2 after structural relaxation.

Properties
E_form (uncorrected)	0.635	eV per atom

Cell lengths 3.975, 3.975, 8.965 Å; angles 90.00, 90.00, 90.00 degrees
Space group I-4m2 (No. 119)
Unique sites:
Ta 0.000 0.000 0.000
Te 0.000 0.500 0.750
W 0.000 0.000 0.500
W 0.000 0.500 0.250

***

Entry 3:
## Tb2DyTcN4 (PBE)

Data for Tb2DyTcN4 after structural relaxation.

Properties
E_form (uncorrected)	-1.066	eV per atom

Cell lengths 3.417, 11.634, 11.656 Å; angles 90.00, 90.00, 90.00 degrees
Space group Cmcm (No. 63)
Unique sites:
Tb 0.000 0.132 0.040
Dy 0.000 0.367 0.250
Tc 0.000 0.366 0.750
N 0.000 0.051 0.250
N 0.000 0.235 0.632
N 0.000 0.500 0.000

***

no.,calculated volume (Å³ per cell)
1,390.20
2,141.62
3,463.31